The following is a DFT calculation (PBEsol) of a geometry-optimized MnTeSe2N structure.

Cell: 3.4916 4.9579 4.9579 Å, 90.00 90.00 90.00°
Fractional coordinates of all 5 atoms:
Mn 0.0000 0.0000 0.0000
Te 0.5000 0.5000 0.5000
Se 0.0000 0.0000 0.5000
Se 0.0000 0.5000 0.0000
N 0.5000 0.0000 0.0000

Computed properties:
The value obtained for the calculated density is 6858 kg/m3. As for the energy: -28.8 eV for the cell shown. Its total magnetization is 1.36 μB per cell. The uncorrected formation energy comes out at 0.1340 eV/atom.

The following is a DFT calculation (PBEsol) of a geometry-optimized LiCa2Fe structure.

Cell: 3.4536 5.1460 6.2988 Å, 114.11 105.91 90.00°
Fractional coordinates of all 4 atoms:
Ca 0.9917 0.9917 0.9833
Ca 0.7861 0.2861 0.5722
Fe 0.5208 0.5208 0.0415
Li 0.2015 0.7015 0.4029

Computed properties:
The value obtained for the calculated density is 2436 kg/m3. As for the energy: -13.4 eV for the cell shown. Its total magnetization is 2.01 μB per cell. For the energy relative to the elements, the calculation gives 0.4419 eV/atom.

The following is a DFT calculation (PBEsol) of a geometry-optimized Sr5P3ClO12 structure.

Cell: 7.1617 9.8537 9.8537 Å, 120.00 90.00 90.00°
Fractional coordinates of all 42 atoms:
Cl 0.5000 0.0000 0.0000
Cl 0.0000 0.0000 0.0000
O 0.7500 0.6646 0.1455
O 0.7500 0.4809 0.3354
O 0.7500 0.8545 0.5191
O 0.2500 0.3354 0.8545
O 0.2500 0.5191 0.6646
O 0.2500 0.1455 0.4809
O 0.7500 0.4113 0.8790
O 0.7500 0.4677 0.5887
O 0.7500 0.1210 0.5323
O 0.2500 0.5887 0.1210
O 0.2500 0.5323 0.4113
O 0.2500 0.8790 0.4677
O 0.9251 0.6447 0.9095
O 0.9251 0.2648 0.3553
O 0.9251 0.0905 0.7352
O 0.4251 0.3553 0.0905
O 0.4251 0.7352 0.6447
O 0.4251 0.9095 0.2648
O 0.0749 0.3553 0.0905
O 0.0749 0.7352 0.6447
O 0.0749 0.9095 0.2648
O 0.5749 0.6447 0.9095
O 0.5749 0.2648 0.3553
O 0.5749 0.0905 0.7352
P 0.7500 0.5936 0.9651
P 0.7500 0.3715 0.4064
P 0.7500 0.0349 0.6285
P 0.2500 0.4064 0.0349
P 0.2500 0.6285 0.5936
P 0.2500 0.9651 0.3715
Sr 0.9990 0.6667 0.3333
Sr 0.4990 0.3333 0.6667
Sr 0.0010 0.3333 0.6667
Sr 0.5010 0.6667 0.3333
Sr 0.7500 0.9925 0.2486
Sr 0.7500 0.2561 0.0075
Sr 0.7500 0.7514 0.7439
Sr 0.2500 0.0075 0.7514
Sr 0.2500 0.7439 0.9925
Sr 0.2500 0.2486 0.2561

Computed properties:
The value obtained for the calculated density is 4183 kg/m3. As for the energy: -306.5 eV for the cell shown. Its total magnetization is 0.00 μB per cell. The uncorrected formation energy comes out at -2.9380 eV/atom.

The following is a DFT calculation (PBEsol) of a geometry-optimized Ca3Y structure.

Cell: 3.5760 5.8800 7.1015 Å, 90.00 101.67 90.00°
Fractional coordinates of all 4 atoms:
Y 0.5000 0.5000 0.0000
Ca 0.7533 0.0000 0.7581
Ca 0.0000 0.5000 0.5000
Ca 0.2467 0.0000 0.2419

Computed properties:
The value obtained for the calculated density is 2375 kg/m3. As for the energy: -12.8 eV for the cell shown. Its total magnetization is 0.00 μB per cell. For the energy relative to the elements, the calculation gives 0.1091 eV/atom. For the excess energy over the best structure of this formula in the dataset, the calculation gives 33.5 meV/atom.